Record 1
# KCrAg, relaxed, DFT PBE-GGA
data_KCrAg
_cell_length_a 8.336
_cell_length_b 4.714
_cell_length_c 8.440
_cell_angle_alpha 90.00
_cell_angle_beta 90.00
_cell_angle_gamma 90.00
_space_group_name_H-M_alt 'P n m a'
_space_group_IT_number 62
loop_
_space_group_symop_operation_xyz
'x,y,z'
'-x,-y,-z'
'-x+1/2,-y,z+1/2'
'x+1/2,y,-z+1/2'
'x+1/2,-y+1/2,-z+1/2'
'-x+1/2,y+1/2,z+1/2'
'-x,y+1/2,-z'
'x,-y+1/2,z'
loop_
_atom_site_label
_atom_site_type_symbol
_atom_site_fract_x
_atom_site_fract_y
_atom_site_fract_z
_atom_site_occupancy
K1 K 0.011 0.250 0.161 1
Cr1 Cr 0.124 0.250 0.555 1
Ag1 Ag 0.204 0.750 0.368 1
# **Polymorph energy (0 for the lowest one)**: 0.061 eV/atom
# **Spin magnetization**: 18.892 μB per cell
# **Formation enthalpy at 0 K**: 1.9 eV per formula unit
# **E**: -3.8763 eV per atom
# **DOS at the Fermi energy**: 1.51 states/eV/f.u.

Record 2
# KCr2Ag, relaxed, DFT PBE-GGA
data_KCr2Ag
_cell_length_a 7.169
_cell_length_b 7.169
_cell_length_c 7.169
_cell_angle_alpha 90.00
_cell_angle_beta 90.00
_cell_angle_gamma 90.00
_space_group_name_H-M_alt 'F m -3 m'
_space_group_IT_number 225
_space_group_name_Hall '-F 4 2 3'
loop_
_atom_site_label
_atom_site_type_symbol
_atom_site_fract_x
_atom_site_fract_y
_atom_site_fract_z
_atom_site_occupancy
K1 K 0.000 0.000 0.000 1
Cr1 Cr 0.250 0.250 0.250 1
Ag1 Ag 0.000 0.000 0.500 1
# **Polymorph energy (0 for the lowest one)**: 0.543 eV/atom
# **Spin magnetization**: 37.534 μB per cell
# **Formation enthalpy at 0 K**: 4.5 eV per formula unit
# **E**: -4.6790 eV per atom
# **DOS at the Fermi energy**: 1.52 states/eV/f.u.

Record 3
# KCrAg2, relaxed, DFT PBE-GGA
data_KCrAg2
_cell_length_a 3.103
_cell_length_b 5.419
_cell_length_c 11.154
_cell_angle_alpha 90.00
_cell_angle_beta 90.00
_cell_angle_gamma 90.00
_space_group_name_H-M_alt 'I m m 2'
_space_group_IT_number 44
loop_
_space_group_symop_operation_xyz
'x,y,z'
'-x,-y,z'
'-x,y,z'
'x,-y,z'
'x+1/2,y+1/2,z+1/2'
'-x+1/2,-y+1/2,z+1/2'
'-x+1/2,y+1/2,z+1/2'
'x+1/2,-y+1/2,z+1/2'
loop_
_atom_site_label
_atom_site_type_symbol
_atom_site_fract_x
_atom_site_fract_y
_atom_site_fract_z
_atom_site_occupancy
K1 K 0.000 0.000 0.000 1
Cr1 Cr 0.000 0.500 0.209 1
Ag1 Ag 0.000 0.000 0.495 1
Ag2 Ag 0.000 0.500 0.776 1
# **Polymorph energy (0 for the lowest one)**: 0.137 eV/atom
# **Spin magnetization**: 9.404 μB per cell
# **Formation enthalpy at 0 K**: 2.2 eV per formula unit
# **E**: -3.5609 eV per atom
# **DOS at the Fermi energy**: 1.37 states/eV/f.u.

Record 4
# K2CrAg, relaxed, DFT PBE-GGA
data_K2CrAg
_cell_length_a 8.235
_cell_length_b 8.261
_cell_length_c 4.213
_cell_angle_alpha 90.00
_cell_angle_beta 90.00
_cell_angle_gamma 90.00
_space_group_name_H-M_alt 'C m m m'
_space_group_IT_number 65
_space_group_name_Hall '-C 2 2'
loop_
_atom_site_label
_atom_site_type_symbol
_atom_site_fract_x
_atom_site_fract_y
_atom_site_fract_z
_atom_site_occupancy
K1 K 0.250 0.250 0.000 1
Cr1 Cr 0.000 0.000 0.500 1
Ag1 Ag 0.000 0.500 0.500 1
# **Polymorph energy (0 for the lowest one)**: 0.183 eV/atom
# **Spin magnetization**: 10.487 μB per cell
# **Formation enthalpy at 0 K**: 2.7 eV per formula unit
# **E**: -2.9827 eV per atom
# **DOS at the Fermi energy**: 1.27 states/eV/f.u.

Record 5
# KCrAg, relaxed, DFT PBE-GGA
data_KCrAg
_cell_length_a 3.4058
_cell_length_b 3.4058
_cell_length_c 7.8841
_cell_angle_alpha 90.00
_cell_angle_beta 90.00
_cell_angle_gamma 120.00
_space_group_name_H-M_alt 'P 3 m 1'
_space_group_IT_number 156
loop_
_space_group_symop_operation_xyz
'x,y,z'
'-y,x-y,z'
'-x+y,-x,z'
'-y,-x,z'
'-x+y,y,z'
'x,x-y,z'
loop_
_atom_site_label
_atom_site_type_symbol
_atom_site_fract_x
_atom_site_fract_y
_atom_site_fract_z
_atom_site_occupancy
K1 K 0.0000 0.0000 0.0000 1
Cr1 Cr 0.6667 0.3333 0.6144 1
Ag1 Ag 0.3333 0.6667 0.3598 1
# **Polymorph energy (0 for the lowest one)**: 0.265 eV/atom
# **Spin magnetization**: 4.672 μB per cell
# **Formation enthalpy at 0 K**: 2.6 eV per formula unit
# **E**: -3.6726 eV per atom
# **DOS at the Fermi energy**: 2.44 states/eV/f.u.

Record 6
# KCr2Ag, relaxed, DFT PBE-GGA
data_KCr2Ag
_cell_length_a 4.525
_cell_length_b 4.525
_cell_length_c 4.605
_cell_angle_alpha 90.00
_cell_angle_beta 90.00
_cell_angle_gamma 90.00
_space_group_name_H-M_alt 'P 4/m m m'
_space_group_IT_number 123
_space_group_name_Hall '-P 4 2'
loop_
_atom_site_label
_atom_site_type_symbol
_atom_site_fract_x
_atom_site_fract_y
_atom_site_fract_z
_atom_site_occupancy
K1 K 0.000 0.000 0.000 1
Cr1 Cr 0.000 0.500 0.500 1
Ag1 Ag 0.500 0.500 0.000 1
# **Polymorph energy (0 for the lowest one)**: 0.536 eV/atom
# **Spin magnetization**: 9.504 μB per cell
# **Formation enthalpy at 0 K**: 4.5 eV per formula unit
# **E**: -4.6855 eV per atom
# **DOS at the Fermi energy**: 1.77 states/eV/f.u.